VASP calculation (GGA-PBE) on crystalline ZnFe2Sb at its relaxed geometry.

Unit cell a=3.2705 b=3.2705 c=5.7112 alpha=90.00 beta=90.00 gamma=90.00
Space group P4mm (No. 99)
Unique sites:
1 Zn 0.0000 0.0000 0.0000 [1 per cell]
2 Fe 0.0000 0.0000 0.4319 [1 per cell]
3 Fe 0.5000 0.5000 0.2067 [1 per cell]
4 Sb 0.5000 0.5000 0.6793 [1 per cell]

Properties
Size of the total moment (μB/f.u.): 4.6
E above lowest polymorph (meV/atom): 0
VASP energy (eV/atom): -5.422
Energy relative to the elements, uncorrected (eV/atom): 0.159

***

VASP calculation (GGA-PBE) on crystalline Tb4Pm2Hg at its relaxed geometry.

Unit cell a=16.9245 b=3.6262 c=8.1663 alpha=90.00 beta=116.93 gamma=90.00
Space group C2/m (No. 12)
Unique sites:
1 Tb 0.0575 0.0000 0.2396 [4 per cell]
2 Tb 0.1439 0.5000 0.9715 [4 per cell]
3 Pm 0.2124 0.5000 0.6289 [4 per cell]
4 Hg 0.0000 0.5000 0.5000 [2 per cell]

Properties
Size of the total moment (μB/f.u.): 0.0
VASP energy (eV/atom): -4.094

***

VASP calculation (GGA-PBE) on crystalline ZrNi2Cl at its relaxed geometry.

Unit cell a=3.2593 b=3.2593 c=22.0135 alpha=90.00 beta=90.00 gamma=120.00
Space group R-3m (No. 166, hexagonal axes)
Unique sites:
1 Zr 0.0000 0.0000 0.0000 [3 per cell]
2 Ni 0.0000 0.0000 0.2501 [6 per cell]
3 Cl 0.0000 0.0000 0.5000 [3 per cell]

Properties
Size of the total moment (μB/f.u.): 0.0
E above lowest polymorph (meV/atom): 290
VASP energy (eV/atom): -5.527
Energy relative to the elements, uncorrected (eV/atom): -0.037

***

VASP calculation (GGA-PBE) on crystalline Tb7Sm2Dy3 at its relaxed geometry.

Unit cell a=6.3462 b=3.5237 c=17.4667 alpha=90.00 beta=96.13 gamma=90.00
Space group P2/m (No. 10)
Unique sites:
1 Tb 0.0000 0.0000 0.0000 [1 per cell]
2 Tb 0.2268 0.5000 0.1674 [2 per cell]
3 Tb 0.2560 0.5000 0.4984 [2 per cell]
4 Tb 0.2744 0.0000 0.8355 [2 per cell]
5 Sm 0.0588 0.5000 0.6724 [2 per cell]
6 Dy 0.4520 0.0000 0.3417 [2 per cell]
7 Dy 0.5000 0.5000 0.0000 [1 per cell]

Properties
Size of the total moment (μB/f.u.): 0.0
E above lowest polymorph (meV/atom): 0
VASP energy (eV/atom): -4.564

***

VASP calculation (GGA-PBE) on crystalline Zr8Al2Si at its relaxed geometry.

Unit cell a=4.3824 b=4.3824 c=12.2385 alpha=90.00 beta=90.00 gamma=90.00
Space group P4/mmm (No. 123)
Unique sites:
1 Zr 0.0000 0.0000 0.1788 [2 per cell]
2 Zr 0.0000 0.5000 0.0000 [2 per cell]
3 Zr 0.0000 0.5000 0.3586 [4 per cell]
4 Al 0.5000 0.5000 0.1804 [2 per cell]
5 Si 0.5000 0.5000 0.5000 [1 per cell]

Properties
Size of the total moment (μB/f.u.): 0.0
VASP energy (eV/atom): -7.691
Energy relative to the elements, uncorrected (eV/atom): -0.301

***

VASP calculation (GGA-PBE) on crystalline Tm7Ag2Pt2 at its relaxed geometry.

Unit cell a=7.9554 b=10.6962 c=7.0334 alpha=90.00 beta=90.00 gamma=90.00
Space group Cmmm (No. 65)
Unique sites:
1 Tm 0.0000 0.0000 0.0000 [2 per cell]
2 Tm 0.0000 0.5000 0.2523 [4 per cell]
3 Tm 0.2500 0.2500 0.2581 [8 per cell]
4 Ag 0.1849 0.0000 0.5000 [4 per cell]
5 Pt 0.0000 0.2847 0.0000 [4 per cell]

Properties
Size of the total moment (μB/f.u.): 0.0
VASP energy (eV/atom): -4.937

***

VASP calculation (GGA-PBE) on crystalline Na2Mo2Au at its relaxed geometry.

Unit cell a=6.7503 b=6.7503 c=5.2552 alpha=90.00 beta=90.00 gamma=90.00
Space group P4/mbm (No. 127)
Unique sites:
1 Na 0.1847 0.3153 0.0000 [4 per cell]
2 Mo 0.1095 0.6095 0.5000 [4 per cell]
3 Au 0.0000 0.0000 0.5000 [2 per cell]

Properties
Size of the total moment (μB/f.u.): 0.0
E above lowest polymorph (meV/atom): 0
VASP energy (eV/atom): -4.719